# 1
Material: UCo12P6
Method: DFT, GGA-PBE
State: optimized geometry

For the calculated total energy, the calculation gives -7.271 eV per atom. Its crystal system is trigonal.

a = 6.4178 Å, b = 6.4178 Å, c = 6.4178 Å
α = 105.69°, β = 105.69°, γ = 105.69°
Site moments in Bohr magnetons follow the coordinates.
Sites, in units of the cell vectors:
U 0.0000 0.0000 0.0000  2.34
Co 0.8712 0.1288 0.5000  -0.01
Co 0.8163 0.5650 0.5650  -0.78
Co 0.5650 0.5650 0.8163  -0.78
Co 0.4350 0.1837 0.4350  -0.78
Co 0.4350 0.4350 0.1837  -0.78
Co 0.1837 0.4350 0.4350  -0.78
Co 0.1288 0.5000 0.8712  -0.01
Co 0.5000 0.8712 0.1288  -0.01
Co 0.1288 0.8712 0.5000  -0.01
Co 0.8712 0.5000 0.1288  -0.01
Co 0.5000 0.1288 0.8712  -0.01
Co 0.5650 0.8163 0.5650  -0.78
P 0.6877 0.2429 0.2429  0.00
P 0.2429 0.2429 0.6877  0.00
P 0.2429 0.6877 0.2429  0.00
P 0.7571 0.7571 0.3123  0.00
P 0.3123 0.7571 0.7571  0.00
P 0.7571 0.3123 0.7571  0.00

---

# 2
Material: CoPOs2
Method: DFT, GGA-PBE
State: optimized geometry

For the calculated total energy, the calculation gives -8.580 eV per atom. Its crystal system is tetragonal.

a = 4.1712 Å, b = 4.1712 Å, c = 2.8785 Å
α = 90.00°, β = 90.00°, γ = 89.99°
Sites, in units of the cell vectors:
Co 0.0000 0.5000 0.5000
Os 0.0000 0.0000 0.0000
Os 0.5000 0.5000 0.0000
P 0.5000 0.0000 0.5000

---

# 3
Material: TaRe2Mo
Method: DFT, GGA-PBE
State: optimized geometry

For the calculated total energy, the calculation gives -12.026 eV per atom. As for the energy above the most stable polymorph in this dataset: 21 meV per atom. Its crystal system is cubic.

a = 4.4836 Å, b = 4.4836 Å, c = 4.4836 Å
α = 60.00°, β = 60.00°, γ = 60.00°
Sites, in units of the cell vectors:
Re 0.2500 0.2500 0.2500
Re 0.7500 0.7500 0.7500
Mo 0.0000 0.0000 0.0000
Ta 0.5000 0.5000 0.5000

---

# 4
Material: Tb3GaAs2Rh9
Method: DFT, GGA-PBE
State: optimized geometry

For the calculated total energy, the calculation gives -6.596 eV per atom. Its crystal system is trigonal.

a = 6.2458 Å, b = 6.2458 Å, c = 8.9968 Å
α = 90.00°, β = 90.00°, γ = 120.00°
Sites, in units of the cell vectors:
Tb 0.3333 0.6667 0.7262
Tb 0.0000 0.0000 0.0000
Tb 0.6667 0.3333 0.2738
Ga 0.0000 0.0000 0.5000
As 0.3333 0.6667 0.1754
As 0.6667 0.3333 0.8246
Rh 0.8593 0.1407 0.7237
Rh 0.8593 0.7186 0.7237
Rh 0.2814 0.1407 0.7237
Rh 0.7186 0.8593 0.2763
Rh 0.1407 0.2814 0.2763
Rh 0.1407 0.8593 0.2763
Rh 0.5000 0.0000 0.0000
Rh 0.0000 0.5000 0.0000
Rh 0.5000 0.5000 0.0000

---

# 5
Material: NaGe2Se2
Method: DFT, GGA-PBE
State: optimized geometry

For the calculated total energy, the calculation gives -3.799 eV per atom. As for the energy above the most stable polymorph in this dataset: 0 meV per atom. Its crystal system is tetragonal. The energy relative to the elements, uncorrected is -0.295 eV per atom.

a = 5.2561 Å, b = 5.2561 Å, c = 5.8271 Å
α = 63.19°, β = 63.19°, γ = 90.00°
Sites, in units of the cell vectors:
Na 0.0000 0.0000 0.0000
Ge 0.3470 0.3470 0.3061
Ge 0.6530 0.6530 0.6939
Se 0.7500 0.2500 0.5000
Se 0.2500 0.7500 0.5000

---

# 6
Material: Dy2GeBi
Method: DFT, GGA-PBE
State: optimized geometry

For the calculated total energy, the calculation gives -5.025 eV per atom. As for the energy above the most stable polymorph in this dataset: 185 meV per atom. Its crystal system is trigonal.

a = 4.1409 Å, b = 4.1409 Å, c = 8.1682 Å
α = 75.32°, β = 75.32°, γ = 60.00°
Sites, in units of the cell vectors:
Dy 0.0892 0.0892 0.7323
Dy 0.2440 0.2440 0.2681
Ge 0.4982 0.4982 0.5053
Bi 0.6686 0.6686 0.9943

---

# 7
Material: SmPuGa2O8
Method: DFT, GGA-PBE
State: optimized geometry

For the calculated total energy, the calculation gives -7.649 eV per atom. Its crystal system is monoclinic. The energy relative to the elements, uncorrected is -2.252 eV per atom.

a = 4.8305 Å, b = 4.8312 Å, c = 7.1423 Å
α = 84.52°, β = 84.52°, γ = 81.90°
Site moments in Bohr magnetons follow the coordinates.
Sites, in units of the cell vectors:
Sm 0.0000 0.0000 0.5000  0.00
Pu 0.0000 0.0000 0.0000  1.43
Ga 0.4626 0.4626 0.7010  0.00
Ga 0.5374 0.5374 0.2990  0.00
O 0.2221 0.7916 0.2255  -0.05
O 0.7430 0.7432 0.0521  -0.07
O 0.7917 0.2223 0.2254  -0.05
O 0.7779 0.2084 0.7745  -0.05
O 0.2570 0.2568 0.9479  -0.07
O 0.2083 0.7777 0.7746  -0.05
O 0.6791 0.6792 0.5038  -0.02
O 0.3209 0.3208 0.4962  -0.02

---

# 8
Material: CsSn2
Method: DFT, GGA-PBE
State: optimized geometry

For the calculated total energy, the calculation gives -3.068 eV per atom. As for the energy above the most stable polymorph in this dataset: 113 meV per atom. Its crystal system is tetragonal.

a = 3.9513 Å, b = 3.9513 Å, c = 7.7558 Å
α = 104.76°, β = 104.76°, γ = 90.00°
Sites, in units of the cell vectors:
Cs 0.0000 0.0000 0.0000
Sn 0.7003 0.7003 0.4007
Sn 0.2997 0.2997 0.5993

---

# 9
Material: Sm3Tl4BiSe8
Method: DFT, GGA-PBE
State: optimized geometry

For the calculated total energy, the calculation gives -4.610 eV per atom. Its crystal system is trigonal. The energy relative to the elements, uncorrected is -1.149 eV per atom.

a = 8.5700 Å, b = 9.1858 Å, c = 8.5705 Å
α = 117.81°, β = 120.00°, γ = 90.00°
Sites, in units of the cell vectors:
Sm 0.5000 0.5000 0.0000
Sm 0.5000 0.5000 0.5000
Sm 0.0000 0.5000 0.5000
Tl 0.5000 0.0000 0.0000
Tl 0.5000 0.0000 0.5000
Tl 0.0000 0.0000 0.0000
Tl 0.0000 0.0000 0.5000
Bi 0.0000 0.5000 0.0000
Se 0.2382 0.7104 0.9722
Se 0.2382 0.7104 0.4764
Se 0.2639 0.2918 0.5278
Se 0.7340 0.7104 0.9722
Se 0.2660 0.2896 0.0278
Se 0.7361 0.7082 0.4722
Se 0.7618 0.2896 0.5236
Se 0.7618 0.2896 0.0278

---

# 10
Material: BaTiFe2Se
Method: DFT, GGA-PBE
State: optimized geometry

For the calculated total energy, the calculation gives -5.583 eV per atom. Its crystal system is tetragonal. The energy relative to the elements, uncorrected is 0.462 eV per atom.

a = 4.7004 Å, b = 4.8713 Å, c = 4.7004 Å
α = 90.00°, β = 90.00°, γ = 90.00°
Site moments in Bohr magnetons follow the coordinates.
Sites, in units of the cell vectors:
Ti 0.0000 0.5000 0.0000  -0.37
Ba 0.5000 0.5000 0.5000  -0.12
Se 0.0000 0.0000 0.0000  -0.02
Fe 0.0000 0.0000 0.5000  2.29
Fe 0.5000 0.0000 0.0000  2.45

---

# 11
Material: Mn2CrSe
Method: DFT, GGA-PBE
State: optimized geometry

For the calculated total energy, the calculation gives -7.707 eV per atom. Its crystal system is monoclinic. The energy relative to the elements, uncorrected is 0.155 eV per atom.

a = 4.8057 Å, b = 4.8057 Å, c = 4.0235 Å
α = 65.49°, β = 65.49°, γ = 40.12°
Site moments in Bohr magnetons follow the coordinates.
Sites, in units of the cell vectors:
Cr 0.7500 0.7500 0.7500  -2.73
Mn 0.9957 0.9957 0.0043  2.53
Mn 0.5043 0.5043 0.4957  2.53
Se 0.2500 0.2500 0.2500  0.03

---

# 12
Material: ErPu2Hg4
Method: DFT, GGA-PBE
State: optimized geometry

For the calculated total energy, the calculation gives -5.062 eV per atom. Its crystal system is tetragonal.

a = 5.0582 Å, b = 5.0582 Å, c = 8.3213 Å
α = 107.69°, β = 107.69°, γ = 90.00°
Site moments in Bohr magnetons follow the coordinates.
Sites, in units of the cell vectors:
Pu 0.7456 0.7456 0.4912  5.52
Pu 0.2544 0.2544 0.5088  5.52
Hg 0.3885 0.8885 0.7770  0.01
Hg 0.8885 0.3885 0.7770  0.01
Hg 0.6115 0.1115 0.2230  0.01
Hg 0.1115 0.6115 0.2230  0.01
Er 0.0000 0.0000 0.0000  -0.05

---

Number 1: volume 227.6 Å³ per cell. Number 2: volume 50.1 Å³ per cell. Number 3: volume 63.7 Å³ per cell. Number 4: volume 303.9 Å³ per cell. Number 5: volume 124.0 Å³ per cell. Number 6: volume 116.0 Å³ per cell. Number 7: volume 163.7 Å³ per cell. Number 8: volume 113.0 Å³ per cell. Number 9: volume 492.3 Å³ per cell. Number 10: volume 107.6 Å³ per cell. Number 11: volume 53.7 Å³ per cell. Number 12: volume 192.2 Å³ per cell.